1.
Entry from the Alexandria database: a geometry-optimized Dy2SnPd4 structure (PBE-GGA).

Results
* offset from the most stable computed form: 560.5 meV per atom
* calculated formation energy: -0.249 eV per atom

Cell: 4.909 4.909 14.321 Å, 90.00 90.00 90.00°
Space group I4/mmm (No. 139)
Inequivalent atoms, fractional coordinates:
Dy1 0.000 0.000 0.131 [4 per cell]
Sn1 0.000 0.000 0.500 [2 per cell]
Pd1 0.000 0.000 0.315 [4 per cell]
Pd2 0.000 0.500 0.000 [4 per cell]

=====

2.
Entry from the Alexandria database: a geometry-optimized KMn2P structure (PBE-GGA).

Results
* calculated formation energy: 0.445 eV per atom

Cell: 3.105 5.603 10.100 Å, 90.00 90.00 90.00°
Space group Immm (No. 71)
Inequivalent atoms, fractional coordinates:
K1 0.000 0.000 0.000 [2 per cell]
Mn1 0.000 0.500 0.178 [4 per cell]
P1 0.000 0.000 0.500 [2 per cell]